# CeVGa PBE relaxed
data_CeVGa
_cell_length_a 2.887
_cell_length_b 2.887
_cell_length_c 13.194
_cell_angle_alpha 90.00
_cell_angle_beta 90.00
_cell_angle_gamma 90.00
_space_group_name_H-M_alt 'I 4 m m'
_space_group_IT_number 107
_space_group_name_Hall 'I 4 -2'
loop_
_atom_site_label
_atom_site_fract_x
_atom_site_fract_y
_atom_site_fract_z
Ce1 0.000 0.000 0.000
V1 0.000 0.000 0.680
Ga1 0.000 0.000 0.314
# * D(E_F): 0.970 states/eV/atom
# * DFT formation energy: -0.106 eV per formula unit
# * energy above the lowest structure with this stoichiometry: 27 meV/atom

# Nd4Dy3ScS8 PBE relaxed
data_Nd4Dy3ScS8
_cell_length_a 7.8539
_cell_length_b 7.8539
_cell_length_c 19.8109
_cell_angle_alpha 90.00
_cell_angle_beta 90.00
_cell_angle_gamma 120.00
_space_group_name_H-M_alt 'R -3 m'
_space_group_IT_number 166
_space_group_name_Hall '-R 3 2"'
loop_
_atom_site_label
_atom_site_fract_x
_atom_site_fract_y
_atom_site_fract_z
Nd1 0.0000 0.0000 0.0000
Nd2 0.0000 0.5000 0.0000
Dy1 0.0000 0.5000 0.5000
Sc1 0.0000 0.0000 0.5000
S1 0.0000 0.0000 0.2445
S2 0.0077 0.5039 0.2428
# * energy: -6.4991 eV/atom
# * D(E_F): 0.476 states/eV/atom

# LiSmThPt PBE relaxed
data_LiSmThPt
_cell_length_a 7.243
_cell_length_b 7.243
_cell_length_c 7.243
_cell_angle_alpha 90.00
_cell_angle_beta 90.00
_cell_angle_gamma 90.00
_space_group_name_H-M_alt 'F -4 3 m'
_space_group_IT_number 216
_space_group_name_Hall 'F -4 2 3'
loop_
_atom_site_label
_atom_site_fract_x
_atom_site_fract_y
_atom_site_fract_z
Li1 0.000 0.000 0.000
Sm1 0.250 0.250 0.750
Th1 0.250 0.250 0.250
Pt1 0.000 0.000 0.500
# * D(E_F): 1.206 states/eV/atom
# * DFT formation energy: -1.788 eV per formula unit